(1)
Crystalline As2AuSeO at its relaxed geometry, computed with PBE.

## Properties
relative energy among the computed polymorphs = 0.799 eV/atom
uncorrected formation energy = 28.586 kcal/mol of atoms
symmetry = No. 123

The structure in POSCAR format:
```
As2AuSeO
1.0
-1.064 -1.902 -4.525
4.213 -2.731 0.157
-2.595 -3.874 2.238
O Au As Se
1 1 2 1
Cartesian
0.277 -4.253 -1.065
0.000 0.000 0.000
2.106 -1.365 0.079
-0.532 -0.951 -2.263
-1.297 -1.937 1.119
```

(2)
Crystalline Sc3BeCl3 at its relaxed geometry, computed with PBE.

## Properties
uncorrected formation energy = -27.817 kcal/mol of atoms
symmetry = No. 214

The structure in POSCAR format:
```
Sc3BeCl3
1.0
-5.054 -7.407 -1.120
0.514 4.507 -7.816
8.302 -2.391 2.650
Cl Sc Be
12 12 4
Cartesian
2.779 -3.931 -4.771
6.476 0.391 -1.961
7.487 0.306 -5.427
-0.165 -1.983 -3.842
4.602 2.143 -4.557
8.358 -1.291 0.675
3.167 -0.798 -2.940
5.164 -2.491 -0.226
4.190 -0.986 -6.313
1.167 0.866 -5.443
6.167 -2.646 -3.732
0.916 -2.281 -7.275
-0.408 -4.309 -0.042
3.899 -3.366 -2.412
-2.412 -2.707 -2.590
2.808 -2.976 0.937
-1.467 -2.824 -6.078
-0.899 -7.397 -1.712
1.020 -1.394 -1.464
2.621 -6.099 -0.876
0.573 -4.489 -3.279
-3.667 -5.634 -0.877
-2.709 -5.621 -4.290
-4.532 -3.975 -6.943
-3.534 -3.302 -4.748
2.076 -0.598 0.662
1.752 -3.772 -1.189
-1.587 -5.026 -2.132
```